Model a:
A relaxed structure of ZnReSCl2. Source: Alexandria, functional PBE-GGA.

Structure (POSCAR):
```
ZnReSCl2
1.0
4.5749 0.0000 0.0000
0.0000 4.5749 0.0000
0.0000 0.0000 5.2872
Re S Cl Zn
1 1 2 1
Cartesian
2.2874 2.2874 2.6436
0.0000 0.0000 2.6436
0.0000 2.2874 0.0000
2.2874 0.0000 0.0000
0.0000 0.0000 0.0000
```

Output
volume: 22.132 A^3/atom

***

Model b:
A relaxed structure of ZnReSCl2. Source: Alexandria, functional PBE-GGA.

Structure (POSCAR):
```
ZnReSCl2
1.0
-1.9293 -1.9796 4.0872
-2.6896 -3.0801 -2.7614
3.3482 -3.0265 0.1146
Cl S Zn Re
2 1 1 1
Cartesian
-1.3448 -1.5400 -1.3807
-0.9647 -0.9898 2.0436
1.6741 -1.5132 0.0573
-0.6354 -4.0431 0.7202
0.0000 0.0000 0.0000
```

Output
volume: 21.984 A^3/atom

***

Best to worst by energy: model b, model a.

***

Model a:
A relaxed structure of ReSbCl. Source: Alexandria, functional PBE-GGA.

Structure (POSCAR):
```
ReSbCl
1.0
-1.8425 -4.0880 0.4226
0.4021 -2.2619 3.8740
-3.5952 -0.5869 2.6487
Sb Re Cl
1 1 1
Cartesian
0.0000 0.0000 0.0000
-1.2589 -1.7342 1.7363
-2.5178 -3.4684 3.4726
```

Output
volume: 21.535 A^3/atom

***

Model b:
A relaxed structure of ReSbCl. Source: Alexandria, functional PBE-GGA.

Structure (POSCAR):
```
ReSbCl
1.0
4.9883 -0.0082 0.0144
1.8214 4.6439 -0.0144
-2.6955 -3.3600 2.5157
Cl Sb Re
1 1 1
Cartesian
0.1646 0.1120 0.0000
4.5706 3.1114 0.0000
2.0746 1.4123 0.0000
```

Output
volume: 19.389 A^3/atom

***

Model c:
A relaxed structure of ReSbCl. Source: Alexandria, functional PBE-GGA.

Structure (POSCAR):
```
ReSbCl
1.0
3.2190 0.0000 0.0000
-1.6095 2.7878 0.0000
0.0000 0.0000 7.9341
Sb Cl Re
1 1 1
Cartesian
0.0000 1.8585 4.5720
0.0000 0.0000 0.7879
1.6095 0.9293 2.5742
```

Output
volume: 23.733 A^3/atom

***

Best to worst by energy: model c, model a, model b.

***

Model a:
A relaxed structure of ReSbCl. Source: Alexandria, functional PBE-GGA.

Structure (POSCAR):
```
ReSbCl
1.0
-4.2881 -6.2482 -0.4309
-3.3767 -5.6181 3.8273
2.0198 7.1628 -1.4922
Cl Re Sb
1 1 1
Cartesian
-7.2490 -11.2226 3.2122
-2.5873 -4.0056 1.1465
-5.4932 -8.5043 2.4341
```

Output
volume: 23.440 A^3/atom

***

Model b:
A relaxed structure of ReSbCl. Source: Alexandria, functional PBE-GGA.

Structure (POSCAR):
```
ReSbCl
1.0
-0.6113 -1.4249 8.4470
-1.5761 -4.0745 6.9981
2.8964 0.4312 1.2145
Cl Sb Re
1 1 1
Cartesian
-1.9820 -5.2598 14.8701
-0.6412 -3.6956 11.1168
1.1447 -1.6122 6.1178
```

Output
volume: 22.402 A^3/atom

***

Best to worst by energy: model a, model b.

***

Model a:
A relaxed structure of Re2SbCl. Source: Alexandria, functional PBE-GGA.

Structure (POSCAR):
```
Re2SbCl
1.0
3.2095 0.0000 0.0000
0.0000 3.2095 0.0000
0.0000 0.0000 6.3960
Re Sb Cl
2 1 1
Cartesian
0.0000 0.0000 3.2003
0.0000 0.0000 6.3938
1.6048 1.6048 1.5990
1.6048 1.6048 4.7970
```

Output
volume: 16.471 A^3/atom

***

Model b:
A relaxed structure of Re2SbCl. Source: Alexandria, functional PBE-GGA.

Structure (POSCAR):
```
Re2SbCl
1.0
3.0162 -0.0030 0.0000
-1.5091 2.6115 0.0000
0.0000 0.0000 9.9832
Sb Cl Re
1 1 2
Cartesian
0.0000 0.0000 4.6392
0.7535 1.3043 8.0721
0.0000 0.0000 0.1196
0.7535 1.3043 2.1439
```

Output
volume: 19.648 A^3/atom

***

Model c:
A relaxed structure of Re2SbCl. Source: Alexandria, functional PBE-GGA.

Structure (POSCAR):
```
Re2SbCl
1.0
-3.4031 3.7431 1.5408
-4.8054 1.0341 1.9507
1.2320 0.0587 4.6027
Re Sb Cl
2 1 1
Cartesian
-5.2677 3.7024 6.4482
0.8883 0.2273 4.5414
-3.2051 2.2730 4.0575
-1.6481 1.1099 1.6969
```

Output
volume: 18.395 A^3/atom

***

Best to worst by energy: model b, model c, model a.